# 1
First-principles (PBE) data for crystalline Ce2NdTh3Se6 at its relaxed geometry, as listed in Alexandria.

Cell and atoms, written as POSCAR:
```
Ce2NdTh3Se6
1.0
-2.7008 1.2850 6.5981
0.1522 -6.7646 -2.5882
7.1362 0.9096 1.4193
Se Th Ce Nd
6 3 2 1
direct
0.9171 0.5822 0.7518
0.7466 0.7466 0.2456
0.5822 0.9171 0.7518
0.4178 0.0829 0.2482
0.0829 0.4178 0.2482
0.2534 0.2534 0.7544
0.1646 0.8354 0.5000
0.8354 0.1646 0.5000
0.5000 0.5000 0.5000
0.6670 0.3330 0.0000
0.3330 0.6670 0.0000
0.0000 0.0000 0.0000
```

Results
Symmetry: C2/m, No. 12
Spin magnetization: 0.118 μB/atom
E_form (uncorrected): -1685 meV per atom

=====

# 2
First-principles (PBE) data for crystalline Ce2NdThSe5 at its relaxed geometry, as listed in Alexandria.

Cell and atoms, written as POSCAR:
```
Ce2NdThSe5
1.0
5.3497 0.0000 0.0000
0.0000 5.3497 0.0000
0.0000 0.0000 11.1000
Se Ce Th Nd
5 2 1 1
direct
0.0000 0.0000 0.7545
0.0000 0.5000 0.5000
0.5000 0.5000 0.0000
0.5000 0.0000 0.5000
0.0000 0.0000 0.2455
0.5000 0.5000 0.2840
0.5000 0.5000 0.7160
0.0000 0.0000 0.5000
0.0000 0.0000 0.0000
```

Results
Symmetry: P4/mmm, No. 123
Spin magnetization: 0.405 μB/atom
E_form (uncorrected): -1102 meV per atom

=====

# 3
First-principles (PBE) data for crystalline Ce3NdTh4Se8 at its relaxed geometry, as listed in Alexandria.

Cell and atoms, written as POSCAR:
```
Ce3NdTh4Se8
1.0
8.3393 0.0000 0.0000
0.0000 8.4741 0.0915
-4.1697 -4.1638 5.8990
Se Th Ce Nd
8 4 3 1
direct
0.2511 0.2532 0.5022
0.2494 0.7474 0.4987
0.2493 0.7474 0.9979
0.2514 0.2526 0.0021
0.7507 0.2526 0.0021
0.7486 0.7474 0.9979
0.7506 0.2526 0.5013
0.7489 0.7468 0.4978
0.5000 0.0000 0.5000
0.0000 0.0000 0.5000
0.0000 0.0000 0.0000
0.5000 0.0000 0.0000
0.5000 0.5000 0.0000
0.0000 0.5000 0.5000
0.5000 0.5000 0.5000
0.0000 0.5000 0.0000
```

Results
Symmetry: R-3m, No. 166
Spin magnetization: 0.173 μB/atom
E_form (uncorrected): -1688 meV per atom

=====

# 4
First-principles (PBE) data for crystalline Ce2Nd3ThSe6 at its relaxed geometry, as listed in Alexandria.

Cell and atoms, written as POSCAR:
```
Ce2Nd3ThSe6
1.0
4.2098 0.0000 0.0000
0.0000 8.4494 0.2711
-2.1049 -2.4651 8.8666
Nd Se Ce Th
3 6 2 1
direct
0.8342 0.1661 0.6684
0.5000 0.5000 0.0000
0.1658 0.8339 0.3316
0.3325 0.4174 0.6651
0.9996 0.7496 0.9992
0.6675 0.5826 0.3349
0.0004 0.2504 0.0008
0.3331 0.9149 0.6661
0.6669 0.0851 0.3339
0.1663 0.3330 0.3325
0.8337 0.6670 0.6675
0.5000 0.0000 0.0000
```

Results
Symmetry: C2/m, No. 12
Spin magnetization: 0.171 μB/atom
E_form (uncorrected): -1782 meV per atom

=====

Volume (A^3/atom)
26.249; 35.297; 26.253; 26.517
Total energy (eV per atom)
-6.669; -5.711; -6.696; -6.323